# 1
Density functional theory data (meta-GGA SCAN) for a PBEsol-optimized structure of YZrIn2.

Summary:
Electronic total energy ... -31.863 eV per atom
Fermi-level density of states ... 2.3 states/eV/cell
V ... 22.97 Å³/atom
DFT formation energy ... -51.54 kJ per mole of atoms

Cell: 3.2362 4.3357 6.5479 Å, 90.00 90.00 90.00°
Closest atoms and distances in Å follow each position.
Atoms (fractional coordinates):
Y 0.0000 0.0000 0.0000  8 In 3.21, 2 Y 3.24, 2 Zr 3.27
Zr 0.0000 0.0000 0.5000  8 In 3.11, 2 Zr 3.24, 2 Y 3.27
In 0.5000 0.5000 0.2648  3 In 3.08-3.24, 4 Zr 3.11, 4 Y 3.21
In 0.5000 0.5000 0.7352  3 In 3.08-3.24, 4 Zr 3.11, 4 Y 3.21

---

# 2
Density functional theory data (meta-GGA SCAN) for a PBEsol-optimized structure of CsCuNi2N.

Summary:
Electronic total energy ... -18.108 eV per atom
Fermi-level density of states ... 2.5 states/eV/cell
V ... 16.16 Å³/atom
Formation energy without anion corrections ... 0.821 eV/atom

Cell: 3.7217 3.7217 5.8349 Å, 90.00 90.00 90.00°
Closest atoms and distances in Å follow each position.
Atoms (fractional coordinates):
Cs 0.0000 0.0000 0.0000  4 Cu 2.63, 2 N 2.92
Cu 0.5000 0.5000 0.0000  4 Cs 2.63
Ni 0.0000 0.5000 0.5000  2 N 1.86
Ni 0.5000 0.0000 0.5000  2 N 1.86
N 0.0000 0.0000 0.5000  4 Ni 1.86

---

# 3
Density functional theory data (meta-GGA SCAN) for a PBEsol-optimized structure of MgZr2GaCu.

Summary:
Electronic total energy ... -18.425 eV per atom
Fermi-level density of states ... 4.3 states/eV/cell
V ... 22.32 Å³/atom
DFT formation energy ... 111.80 kJ per mole of atoms

Cell: 4.9812 4.9812 4.4970 Å, 90.00 90.00 90.00°
Closest atoms and distances in Å follow each position.
Atoms (fractional coordinates):
Mg 0.0000 0.0000 0.0000  2 Ga 2.25, 4 Zr 2.49
Zr 0.0000 0.5000 0.0000  2 Mg 2.49
Zr 0.5000 0.0000 0.0000  2 Mg 2.49
Ga 0.0000 0.0000 0.5000  2 Mg 2.25
Cu 0.5000 0.5000 0.5000  8 Zr 3.36, 4 Ga 3.52

---

# 4
Density functional theory data (meta-GGA SCAN) for a PBEsol-optimized structure of Na3SbF.

Summary:
Electronic total energy ... -12.044 eV per atom
Fermi-level density of states ... 1.8 states/eV/cell
V ... 20.63 Å³/atom
Formation energy without anion corrections ... -1.355 eV/atom

Cell: 4.6898 4.6898 4.6898 Å, 90.00 90.00 90.00°
Closest atoms and distances in Å follow each position.
Atoms (fractional coordinates):
Na 0.0000 0.0000 0.5000  2 F 2.34
Na 0.0000 0.5000 0.0000  2 F 2.34
Na 0.5000 0.0000 0.0000  2 F 2.34
Sb 0.5000 0.5000 0.5000  12 Na 3.32
F 0.0000 0.0000 0.0000  6 Na 2.34

---

# 5
Density functional theory data (meta-GGA SCAN) for a PBEsol-optimized structure of Re2TcGeRu.

Summary:
Electronic total energy ... -44.126 eV per atom
Fermi-level density of states ... 4.5 states/eV/cell
V ... 19.48 Å³/atom
DFT formation energy ... 203.38 kJ per mole of atoms

Cell: 4.6233 4.6233 4.5557 Å, 90.00 90.00 90.00°
Closest atoms and distances in Å follow each position.
Atoms (fractional coordinates):
Re 0.0000 0.5000 0.0000  2 Ru 2.31
Re 0.5000 0.0000 0.0000  2 Ru 2.31
Tc 0.0000 0.0000 0.5000  2 Ru 2.28
Ge 0.5000 0.5000 0.5000  8 Re 3.25, 4 Tc 3.27
Ru 0.0000 0.0000 0.0000  2 Tc 2.28, 4 Re 2.31

---

# 6
Density functional theory data (meta-GGA SCAN) for a PBEsol-optimized structure of AlTeOs2.

Summary:
Electronic total energy ... -47.015 eV per atom
Fermi-level density of states ... 1.7 states/eV/cell
V ... 15.44 Å³/atom
Formation energy without anion corrections ... 0.175 eV/atom
Energy above the lowest structure with this stoichiometry ... 0 meV/atom

Cell: 3.1284 3.1284 6.3108 Å, 90.00 90.00 90.00°
Closest atoms and distances in Å follow each position.
Atoms (fractional coordinates):
Al 0.0000 0.0000 0.0000  8 Os 2.64
Te 0.0000 0.0000 0.5000  8 Os 2.80, 4 Te 3.13
Os 0.5000 0.5000 0.2286  4 Al 2.64, 4 Te 2.80, 1 Os 2.88
Os 0.5000 0.5000 0.7714  4 Al 2.64, 4 Te 2.80, 1 Os 2.88

---

# 7
Density functional theory data (meta-GGA SCAN) for a PBEsol-optimized structure of Li2InRh.

Summary:
Electronic total energy ... -18.366 eV per atom
Fermi-level density of states ... 1.1 states/eV/cell
V ... 15.31 Å³/atom
DFT formation energy ... -36.84 kJ per mole of atoms

Cell: 3.1541 4.3349 4.4776 Å, 90.00 90.00 90.00°
Closest atoms and distances in Å follow each position.
Atoms (fractional coordinates):
Li 0.0000 0.0000 0.0000  4 Li 2.68, 4 Rh 2.74
Li 0.5000 0.5000 0.0000  4 Li 2.68, 4 In 2.74
In 0.0000 0.5000 0.5000  4 Rh 2.68, 4 Li 2.74
Rh 0.5000 0.0000 0.5000  4 In 2.68, 4 Li 2.74

---

# 8
Density functional theory data (meta-GGA SCAN) for a PBEsol-optimized structure of Fe2PRh.

Summary:
Electronic total energy ... -20.333 eV per atom
Fermi-level density of states ... 2.5 states/eV/cell
V ... 11.64 Å³/atom
DFT formation energy ... -21.82 kJ per mole of atoms

Cell: 3.3219 3.6228 3.8693 Å, 90.00 90.00 90.00°
Closest atoms and distances in Å follow each position.
Atoms (fractional coordinates):
Fe 0.0000 0.0000 0.0000  4 Fe 2.46, 4 Rh 2.55, 4 P 2.65
Fe 0.5000 0.5000 0.0000  4 Fe 2.46, 4 P 2.55, 4 Rh 2.65
P 0.0000 0.5000 0.5000  4 Rh 2.46, 8 Fe 2.55-2.65
Rh 0.5000 0.0000 0.5000  4 P 2.46, 8 Fe 2.55-2.65

---

# 9
Density functional theory data (meta-GGA SCAN) for a PBEsol-optimized structure of BaInPt3.

Summary:
Electronic total energy ... -55.163 eV per atom
Fermi-level density of states ... 5.0 states/eV/cell
V ... 29.03 Å³/atom
DFT formation energy ... 148.56 kJ per mole of atoms

Cell: 5.2555 5.2555 5.2555 Å, 90.00 90.00 90.00°
Closest atoms and distances in Å follow each position.
Atoms (fractional coordinates):
Ba 0.0000 0.0000 0.0000  6 Pt 2.63
In 0.5000 0.5000 0.5000  12 Pt 3.72
Pt 0.0000 0.0000 0.5000  2 Ba 2.63
Pt 0.0000 0.5000 0.0000  2 Ba 2.63
Pt 0.5000 0.0000 0.0000  2 Ba 2.63

---

# 10
Density functional theory data (meta-GGA SCAN) for a PBEsol-optimized structure of K6NbAs3O.

Summary:
Electronic total energy ... -14.561 eV per atom
V ... 30.03 Å³/atom
Formation energy without anion corrections ... -0.933 eV/atom

Cell: 10.9734 10.9734 10.9734 Å, 90.00 90.00 90.00°
Closest atoms and distances in Å follow each position.
Atoms (fractional coordinates):
K 0.0353 0.2824 0.8672  1 O 2.67
K 0.1328 0.5353 0.2176  1 O 2.67
K 0.1337 0.6337 0.8663  3 K 3.56, 6 As 3.69-3.86
K 0.1559 0.1559 0.1559  3 As 3.36, 3 K 3.70
K 0.1832 0.8168 0.3168  1 O 2.80
K 0.2176 0.1328 0.5353  1 O 2.67
K 0.2824 0.8672 0.0353  1 O 2.67
K 0.3168 0.1832 0.8168  1 O 2.80
K 0.3441 0.8441 0.6559  3 As 3.36, 3 K 3.70
K 0.3663 0.3663 0.3663  3 K 3.56, 6 As 3.69-3.86
K 0.3672 0.4647 0.7176  1 O 2.67
K 0.4647 0.7176 0.3672  1 O 2.67
K 0.5353 0.2176 0.1328  1 O 2.67
K 0.6328 0.9647 0.7824  1 O 2.67
K 0.6337 0.8663 0.1337  3 K 3.56, 6 As 3.69-3.86
K 0.6559 0.3441 0.8441  3 As 3.36, 3 K 3.70
K 0.6832 0.6832 0.6832  1 O 2.80
K 0.7176 0.3672 0.4647  1 O 2.67
K 0.7824 0.6328 0.9647  1 O 2.67
K 0.8168 0.3168 0.1832  1 O 2.80
K 0.8441 0.6559 0.3441  3 As 3.36, 3 K 3.70
K 0.8663 0.1337 0.6337  3 K 3.56, 6 As 3.69-3.86
K 0.8672 0.0353 0.2824  1 O 2.67
K 0.9647 0.7824 0.6328  1 O 2.67
Nb 0.0721 0.4279 0.5721  1 O 1.85
Nb 0.4279 0.5721 0.0721  1 O 1.85
Nb 0.5721 0.0721 0.4279  1 O 1.85
Nb 0.9279 0.9279 0.9279  1 O 1.85
As 0.0209 0.3031 0.3878  1 Nb 2.51
As 0.1122 0.9791 0.8031  1 Nb 2.51
As 0.1969 0.6122 0.5209  1 Nb 2.51
As 0.3031 0.3878 0.0209  1 Nb 2.51
As 0.3878 0.0209 0.3031  1 Nb 2.51
As 0.4791 0.6969 0.8878  1 Nb 2.51
As 0.5209 0.1969 0.6122  1 Nb 2.51
As 0.6122 0.5209 0.1969  1 Nb 2.51
As 0.6969 0.8878 0.4791  1 Nb 2.51
As 0.8031 0.1122 0.9791  1 Nb 2.51
As 0.8878 0.4791 0.6969  1 Nb 2.51
As 0.9791 0.8031 0.1122  1 Nb 2.51
O 0.1695 0.3305 0.6695  1 Nb 1.85
O 0.3305 0.6695 0.1695  1 Nb 1.85
O 0.6695 0.1695 0.3305  1 Nb 1.85
O 0.8305 0.8305 0.8305  1 Nb 1.85

---

# 11
Density functional theory data (meta-GGA SCAN) for a PBEsol-optimized structure of LiSb3P6O20.

Summary:
Electronic total energy ... -12.176 eV per atom
Fermi-level density of states ... 0.0 states/eV/cell
V ... 14.01 Å³/atom
Formation energy without anion corrections ... -2.136 eV/atom

Cell: 8.3444 8.3444 12.8257 Å, 90.00 90.00 109.71°
Closest atoms and distances in Å follow each position.
Atoms (fractional coordinates):
Li 0.0170 0.0170 0.0000  2 O 1.88
Li 0.9830 0.9830 0.5000  2 O 1.88
Sb 0.2223 0.7777 0.2500  4 O 2.05-2.20
Sb 0.2497 0.7503 0.7500  4 O 2.12-2.18
Sb 0.3821 0.3821 0.5000  4 O 2.06-2.22
Sb 0.6179 0.6179 0.0000  4 O 2.06-2.22
Sb 0.7503 0.2497 0.2500  4 O 2.12-2.18
Sb 0.7777 0.2223 0.7500  4 O 2.05-2.20
P 0.1361 0.3560 0.1446  4 O 1.49-1.63
P 0.1998 0.3245 0.7154  4 O 1.51-1.59
P 0.2584 0.6783 0.0142  4 O 1.51-1.65
P 0.3217 0.7416 0.4858  4 O 1.51-1.65
P 0.3245 0.1998 0.2846  4 O 1.51-1.59
P 0.3560 0.1361 0.8554  4 O 1.49-1.63
P 0.6440 0.8639 0.3554  4 O 1.49-1.63
P 0.6755 0.8002 0.7846  4 O 1.51-1.59
P 0.6783 0.2584 0.9858  4 O 1.51-1.65
P 0.7416 0.3217 0.5142  4 O 1.51-1.65
P 0.8002 0.6755 0.2154  4 O 1.51-1.59
P 0.8639 0.6440 0.6446  4 O 1.49-1.63
O 0.0283 0.2421 0.7678  1 P 1.52
O 0.0331 0.1908 0.0973  1 P 1.49
O 0.0486 0.4419 0.2179  1 P 1.51
O 0.1564 0.7585 0.0835  1 P 1.53
O 0.1873 0.6405 0.9050  1 P 1.51
O 0.1908 0.0331 0.9027  1 P 1.49
O 0.2143 0.2363 0.6095  1 P 1.57
O 0.2272 0.5493 0.4756  1 P 1.54
O 0.2363 0.2143 0.3905  1 P 1.57
O 0.2398 0.4883 0.0592  2 P 1.59-1.65
O 0.2421 0.0283 0.2322  1 P 1.52
O 0.2415 0.8436 0.4165  1 P 1.53
O 0.2585 0.5137 0.6960  1 P 1.51
O 0.2991 0.3374 0.2065  2 P 1.59-1.63
O 0.3374 0.2991 0.7935  2 P 1.59-1.63
O 0.3595 0.8127 0.5950  1 P 1.51
O 0.4419 0.0486 0.7821  1 P 1.51
O 0.4507 0.7728 0.0244  1 P 1.54
O 0.4863 0.7415 0.8040  1 P 1.51
O 0.4883 0.2398 0.9408  2 P 1.59-1.65
O 0.5117 0.7602 0.4408  2 P 1.59-1.65
O 0.5137 0.2585 0.3040  1 P 1.51
O 0.5493 0.2272 0.5244  1 P 1.54
O 0.5581 0.9514 0.2821  1 P 1.51
O 0.6405 0.1873 0.0950  1 P 1.51
O 0.6626 0.7009 0.2935  2 P 1.59-1.63
O 0.7009 0.6626 0.7065  2 P 1.59-1.63
O 0.7415 0.4863 0.1960  1 P 1.51
O 0.7585 0.1564 0.9165  1 P 1.53
O 0.7579 0.9717 0.7322  1 P 1.52
O 0.7602 0.5117 0.5592  2 P 1.59-1.65
O 0.7637 0.7857 0.8905  1 P 1.57
O 0.7728 0.4507 0.9756  1 P 1.54
O 0.7857 0.7637 0.1095  1 P 1.57
O 0.8092 0.9669 0.4027  1 P 1.49
O 0.8127 0.3595 0.4050  1 P 1.51
O 0.8436 0.2415 0.5835  1 P 1.53
O 0.9514 0.5581 0.7179  1 P 1.51
O 0.9669 0.8092 0.5973  1 P 1.49
O 0.9717 0.7579 0.2678  1 P 1.52

---

# 12
Density functional theory data (meta-GGA SCAN) for a PBEsol-optimized structure of NbSeI.

Summary:
Electronic total energy ... -30.785 eV per atom
Fermi-level density of states ... 8.4 states/eV/cell
V ... 25.44 Å³/atom
Formation energy without anion corrections ... -0.802 eV/atom

Cell: 7.5583 7.5583 7.5583 Å, 60.00 60.00 60.00°
Closest atoms and distances in Å follow each position.
Atoms (fractional coordinates):
Nb 0.4009 0.4009 0.4009  3 Se 2.54
Nb 0.4009 0.4009 0.7974  3 Se 2.54
Nb 0.4009 0.7974 0.4009  3 Se 2.54
Nb 0.7974 0.4009 0.4009  3 Se 2.54
Se 0.0996 0.6335 0.6335  3 Nb 2.54
Se 0.6335 0.0996 0.6335  3 Nb 2.54
Se 0.6335 0.6335 0.0996  3 Nb 2.54
Se 0.6335 0.6335 0.6335  3 Nb 2.54
I 0.1265 0.1265 0.1265  3 Nb 2.96
I 0.1265 0.1265 0.6206  3 Nb 2.96
I 0.1265 0.6206 0.1265  3 Nb 2.96
I 0.6206 0.1265 0.1265  3 Nb 2.96